VASP calculation (GGA-PBE) on an optimized crystal structure of Tb2Se3F.

Cell: 4.2354 7.9717 10.3639 Å, 70.87 78.21 74.59°
Positions (direct):
Tb  0.3934  0.7711  0.4421
Se  0.7752  0.8295  0.6201
Tb  0.1433  0.5231  0.1902
Se  0.3472  0.3218  0.9837
Se  0.6528  0.6782  0.0163
Tb  0.8567  0.4769  0.8098
F  0.5623  0.5046  0.3707
Se  0.2248  0.1705  0.3799
Se  0.0525  0.1386  0.7564
Se  0.9475  0.8614  0.2436
F  0.4377  0.4954  0.6293
Tb  0.6066  0.2289  0.5579

## Properties
Raw total energy ... -5.60 eV per atom
Space group ... C2/m
Crystal system ... monoclinic
Formation energy without anion corrections ... -12.04 eV per formula unit
Total moment ... 0.0 μB per formula unit

---

VASP calculation (GGA-PBE) on an optimized crystal structure of MgZr2Np.

Cell: 3.0463 3.0463 11.3583 Å, 82.29 82.29 60.00°
Positions (direct):
Np  0.0000  0.0000  0.0000
Zr  0.2479  0.2479  0.2562
Mg  0.5000  0.5000  0.5000
Zr  0.7521  0.7521  0.7438

## Properties
Raw total energy ... -7.67 eV per atom
Formation energy ... 0.961 eV/f.u.
Space group ... R-3m
Excess energy over the best structure of this formula in the dataset ... 30 meV/atom
Crystal system ... trigonal
Total moment ... 3.4 μB per formula unit

---

VASP calculation (GGA-PBE) on an optimized crystal structure of SrZnIn2.

Cell: 6.6915 6.6915 6.6915 Å, 40.45 40.45 40.45°
Positions (direct):
In  0.4674  0.4674  0.4674
Sr  0.2500  0.2500  0.2500
Zn  0.7500  0.7500  0.7500
In  0.0326  0.0326  0.0326

## Properties
Raw total energy ... -2.36 eV per atom
Formation energy ... -1.010 eV/f.u.
Space group ... R-3m
Crystal system ... trigonal
Total moment ... 0.0 μB per formula unit

---

VASP calculation (GGA-PBE) on an optimized crystal structure of CoPPdCl2.

Cell: 4.8390 4.8390 4.7227 Å, 90.00 90.00 90.00°
Positions (direct):
P  0.0000  0.0000  0.5000
Co  0.5000  0.5000  0.5000
Cl  0.5000  0.0000  0.0000
Cl  0.0000  0.5000  0.0000
Pd  0.0000  0.0000  0.0000

## Properties
Raw total energy ... -3.53 eV per atom
Space group ... P4/mmm
Excess energy over the best structure of this formula in the dataset ... 376 meV/atom
Crystal system ... tetragonal
Formation energy without anion corrections ... 3.73 eV per formula unit
Total moment ... 2.0 μB per formula unit

---

VASP calculation (GGA-PBE) on an optimized crystal structure of CoAuI4.

Cell: 6.4012 6.4012 11.5721 Å, 90.00 90.00 90.00°
Positions (direct):
I  0.2405  0.2759  0.3705
I  0.7241  0.2405  0.6295
I  0.7241  0.7595  0.8705
I  0.2759  0.7595  0.6295
Co  0.5000  0.0000  0.7500
Co  0.0000  0.5000  0.2500
I  0.2405  0.7241  0.1295
I  0.7595  0.2759  0.1295
Au  0.0000  0.0000  0.5000
I  0.2759  0.2405  0.8705
Au  0.0000  0.0000  0.0000
I  0.7595  0.7241  0.3705

## Properties
Raw total energy ... -2.78 eV per atom
Space group ... P-42c
Crystal system ... tetragonal
Formation energy without anion corrections ... -0.08 eV per formula unit
Total moment ... 3.5 μB per formula unit

---

VASP calculation (GGA-PBE) on an optimized crystal structure of TeIrS2N.

Cell: 5.0201 5.0201 3.7637 Å, 90.00 90.00 90.00°
Positions (direct):
S  0.0000  0.5000  0.0000
Te  0.0000  0.0000  0.0000
S  0.5000  0.0000  0.0000
Ir  0.5000  0.5000  0.5000
N  0.0000  0.0000  0.5000

## Properties
Raw total energy ... -3.98 eV per atom
Space group ... P4/mmm
Excess energy over the best structure of this formula in the dataset ... 1261 meV/atom
Crystal system ... tetragonal
Formation energy without anion corrections ... 8.68 eV per formula unit
Total moment ... 0.2 μB per formula unit

---

VASP calculation (GGA-PBE) on an optimized crystal structure of HfSn2OsBr.

Cell: 5.6901 4.8868 5.6901 Å, 90.00 90.00 90.00°
Positions (direct):
Br  0.5000  0.5000  0.5000
Os  0.0000  0.5000  0.0000
Hf  0.0000  0.0000  0.0000
Sn  0.5000  0.0000  0.0000
Sn  0.0000  0.0000  0.5000

## Properties
Raw total energy ... -5.18 eV per atom
Space group ... P4/mmm
Crystal system ... tetragonal
Formation energy without anion corrections ... 4.98 eV per formula unit
Total moment ... 1.8 μB per formula unit

---

VASP calculation (GGA-PBE) on an optimized crystal structure of P2WI.

Cell: 4.5835 4.5835 4.5835 Å, 60.00 60.00 60.00°
Positions (direct):
I  0.0000  0.0000  0.0000
W  0.5000  0.5000  0.5000
P  0.7500  0.7500  0.7500
P  0.2500  0.2500  0.2500

## Properties
Raw total energy ... -5.21 eV per atom
Space group ... Fm-3m
Excess energy over the best structure of this formula in the dataset ... 579 meV/atom
Crystal system ... cubic
Formation energy without anion corrections ... 4.47 eV per formula unit
Total moment ... 0.0 μB per formula unit

---

VASP calculation (GGA-PBE) on an optimized crystal structure of CsAsS2O8.

Cell: 5.4235 5.4236 7.7391 Å, 69.47 69.49 60.00°
Positions (direct):
O  0.5664  0.1137  0.2061
O  0.1139  0.1137  0.2061
O  0.4336  0.8863  0.7939
O  0.8861  0.4338  0.7939
S  0.2907  0.2906  0.1281
S  0.7093  0.7094  0.8719
O  0.3585  0.3586  0.9244
O  0.6415  0.6414  0.0756
Cs  0.5000  0.5000  0.5000
O  0.1139  0.5662  0.2061
O  0.8861  0.8863  0.7939
As  0.0000  0.0000  0.0000

## Properties
Raw total energy ... -5.79 eV per atom
Space group ... R-3m
Crystal system ... trigonal
Formation energy without anion corrections ... -16.05 eV per formula unit
Total moment ... 0.0 μB per formula unit

---

VASP calculation (GGA-PBE) on an optimized crystal structure of CeZnSi.

Cell: 4.5919 4.5919 4.5919 Å, 60.00 60.00 60.00°
Positions (direct):
Si  0.2500  0.2500  0.2500
Zn  0.0000  0.0000  0.0000
Ce  0.5000  0.5000  0.5000

## Properties
Raw total energy ... -4.42 eV per atom
Space group ... F-43m
Crystal system ... cubic
Formation energy without anion corrections ... -0.64 eV per formula unit
Total moment ... 1.0 μB per formula unit

---

VASP calculation (GGA-PBE) on an optimized crystal structure of NiB2Rh.

Cell: 4.5840 4.5840 5.5992 Å, 65.84 65.84 90.00°
Positions (direct):
B  0.1388  0.6250  0.2500
Ni  0.5000  0.5000  0.0000
B  0.3750  0.3888  0.7500
Rh  0.0000  0.0000  0.0000
Rh  0.7500  0.2500  0.5000
B  0.6112  0.1250  0.2500
Ni  0.2500  0.7500  0.5000
B  0.8750  0.8612  0.7500

## Properties
Raw total energy ... -6.30 eV per atom
Formation energy ... 1.268 eV/f.u.
Space group ... I-42d
Excess energy over the best structure of this formula in the dataset ... 300 meV/atom
Crystal system ... tetragonal
Total moment ... 0.0 μB per formula unit

---

VASP calculation (GGA-PBE) on an optimized crystal structure of LaZr2Ni.

Cell: 5.0366 4.2177 4.2177 Å, 90.00 90.00 90.00°
Positions (direct):
Zr  0.0000  0.5000  0.5000
Zr  0.0000  0.0000  0.0000
Ni  0.5000  0.0000  0.5000
La  0.5000  0.5000  0.0000

## Properties
Raw total energy ... -6.75 eV per atom
Formation energy ... 0.803 eV/f.u.
Space group ... P4/mmm
Excess energy over the best structure of this formula in the dataset ... 319 meV/atom
Crystal system ... tetragonal
Total moment ... 0.0 μB per formula unit

---

VASP calculation (GGA-PBE) on an optimized crystal structure of Mg3Cd3In.

Cell: 7.1255 7.1255 6.3758 Å, 90.00 90.00 91.09°
Positions (direct):
Cd  0.7235  0.2765  0.5000
Cd  0.7139  0.7139  0.5000
Cd  0.2861  0.2861  0.5000
Mg  0.5000  0.0000  0.7478
Mg  0.0000  0.0000  0.7481
In  0.6981  0.6981  0.0000
Cd  0.2765  0.7235  0.5000
Mg  0.0000  0.5000  0.2522
Cd  0.7396  0.2604  0.0000
In  0.3019  0.3019  0.0000
Mg  0.0000  0.0000  0.2519
Mg  0.5000  0.0000  0.2522
Mg  0.0000  0.5000  0.7478
Cd  0.2604  0.7396  0.0000

## Properties
Raw total energy ... -1.52 eV per atom
Formation energy ... -0.371 eV/f.u.
Space group ... Cmmm
Excess energy over the best structure of this formula in the dataset ... 0 meV/atom
Crystal system ... orthorhombic
Total moment ... 0.0 μB per formula unit

---

VASP calculation (GGA-PBE) on an optimized crystal structure of KMo2Ru.

Cell: 6.2426 6.2426 6.2426 Å, 155.42 129.31 57.12°
Positions (direct):
Mo  0.5427  0.5427  0.0000
K  0.2500  0.7500  0.5000
Ru  0.7500  0.2500  0.5000
Mo  0.9573  0.9573  0.0000

## Properties
Raw total energy ... -6.88 eV per atom
Formation energy ... 4.512 eV/f.u.
Space group ... Immm
Excess energy over the best structure of this formula in the dataset ... 398 meV/atom
Crystal system ... orthorhombic
Total moment ... 0.0 μB per formula unit

---

VASP calculation (GGA-PBE) on an optimized crystal structure of Sr2Mg3Sn4.

Cell: 6.6283 8.7460 9.3597 Å, 90.00 110.74 90.00°
Positions (direct):
Mg  0.9726  0.2500  0.4452
Sn  0.8057  0.2500  0.1113
Sr  0.8913  0.4079  0.7826
Sn  0.3057  0.2500  0.1113
Sn  0.8186  0.0302  0.6371
Mg  0.5274  0.7500  0.5548
Sr  0.1087  0.5921  0.2174
Sn  0.1943  0.7500  0.8887
Sr  0.6087  0.9079  0.2174
Mg  0.4726  0.2500  0.4452
Sn  0.3186  0.4698  0.6371
Sn  0.6943  0.7500  0.8887
Mg  0.0274  0.7500  0.5548
Sr  0.3913  0.0921  0.7826
Mg  0.5000  0.5000  0.0000
Sn  0.6814  0.5302  0.3629
Mg  0.0000  0.0000  0.0000
Sn  0.1814  0.9698  0.3629

## Properties
Raw total energy ... -3.07 eV per atom
Formation energy ... -3.450 eV/f.u.
Space group ... Cmce
Crystal system ... orthorhombic
Total moment ... 0.0 μB per formula unit

---

VASP calculation (GGA-PBE) on an optimized crystal structure of DyTmSc4.

Cell: 6.2353 6.2353 6.2353 Å, 60.00 60.00 60.00°
Positions (direct):
Tm  0.0000  0.0000  0.0000
Sc  0.6249  0.6249  0.1252
Sc  0.1252  0.6249  0.6249
Sc  0.6249  0.1252  0.6249
Dy  0.2500  0.2500  0.2500
Sc  0.6249  0.6249  0.6249

## Properties
Raw total energy ... -5.50 eV per atom
Formation energy ... 1.373 eV/f.u.
Space group ... F-43m
Excess energy over the best structure of this formula in the dataset ... 196 meV/atom
Crystal system ... cubic
Total moment ... 5.6 μB per formula unit

---

VASP calculation (GGA-PBE) on an optimized crystal structure of Sr2Zn4Ga3Ge.

Cell: 4.3971 4.3971 10.8250 Å, 90.00 90.00 90.00°
Positions (direct):
Zn  0.5000  0.5000  0.0000
Ge  0.5000  0.5000  0.5000
Sr  0.5000  0.0000  0.2490
Zn  0.5000  0.0000  0.6347
Sr  0.0000  0.5000  0.7510
Zn  0.0000  0.5000  0.3653
Zn  0.0000  0.0000  0.0000
Ga  0.0000  0.0000  0.5000
Ga  0.5000  0.0000  0.8695
Ga  0.0000  0.5000  0.1305

## Properties
Raw total energy ... -2.57 eV per atom
Formation energy ... -3.497 eV/f.u.
Space group ... P-4m2
Crystal system ... tetragonal
Total moment ... 0.0 μB per formula unit

---

VASP calculation (GGA-PBE) on an optimized crystal structure of La4PmBi2.

Cell: 5.5250 5.5250 9.5405 Å, 106.83 106.83 90.00°
Positions (direct):
La  0.1778  0.1778  0.3556
Bi  0.3644  0.3644  0.7289
La  0.8222  0.8222  0.6444
La  0.5000  0.0000  0.0000
La  0.0000  0.5000  0.0000
Pm  0.0000  0.0000  0.0000
Bi  0.6356  0.6356  0.2711

## Properties
Raw total energy ... -4.62 eV per atom
Formation energy ... -0.109 eV/f.u.
Space group ... I4/mmm
Crystal system ... tetragonal
Total moment ... 1.2 μB per formula unit

---

VASP calculation (GGA-PBE) on an optimized crystal structure of TmNpIrRu.

Cell: 4.7809 4.7809 4.7809 Å, 60.00 60.00 60.00°
Positions (direct):
Tm  0.7500  0.7500  0.7500
Ru  0.0000  0.0000  0.0000
Ir  0.5000  0.5000  0.5000
Np  0.2500  0.2500  0.2500

## Properties
Raw total energy ... -9.29 eV per atom
Formation energy ... -1.623 eV/f.u.
Space group ... F-43m
Crystal system ... cubic
Total moment ... 3.1 μB per formula unit

---

VASP calculation (GGA-PBE) on an optimized crystal structure of RbTiRuCl2.

Cell: 4.8086 8.5516 4.8086 Å, 90.00 90.00 90.00°
Positions (direct):
Rb  0.0000  0.5000  0.0000
Cl  0.0000  0.0000  0.5000
Cl  0.5000  0.0000  0.0000
Ti  0.0000  0.0000  0.0000
Ru  0.5000  0.5000  0.5000

## Properties
Raw total energy ... -3.93 eV per atom
Space group ... P4/mmm
Crystal system ... tetragonal
Formation energy without anion corrections ... 2.18 eV per formula unit
Total moment ... 5.2 μB per formula unit